Below is a geometry-optimized BaNdCuBO5 structure, with properties calculated at the GGA-PBEsol level.

Output
final energy	-0.5499	Ry/atom
V	224.9	Å³/cell
SG	P4bm, No. 100

Cell: 5.4793 5.4793 7.4909 Å, 90.00 90.00 90.00°
Fractional positions:
Ba 0.0000 0.0000 0.0000
Ba 0.5000 0.5000 0.0000
Nd 0.0000 0.0000 0.4929
Nd 0.5000 0.5000 0.4929
Cu 0.0000 0.5000 0.2689
Cu 0.5000 0.0000 0.2689
B 0.0000 0.5000 0.7567
B 0.5000 0.0000 0.7567
O 0.0000 0.5000 0.9424
O 0.1574 0.3426 0.6685
O 0.2479 0.7479 0.2865
O 0.2521 0.2479 0.2865
O 0.3426 0.8426 0.6685
O 0.5000 0.0000 0.9424
O 0.6574 0.1574 0.6685
O 0.7479 0.7521 0.2865
O 0.7521 0.2521 0.2865
O 0.8426 0.6574 0.6685

***

Below is a geometry-optimized Ba2CuB2O6 structure, with properties calculated at the GGA-PBEsol level.

Output
final energy	-0.5355	Ry/atom
V	1260.1	Å³/cell
SG	Pnma, No. 62

Cell: 8.1150 11.1328 13.9482 Å, 90.00 90.00 90.00°
Fractional positions:
Ba 0.0000 0.0000 0.0000
Ba 0.0000 0.5000 0.0000
Ba 0.1173 0.2500 0.4519
Ba 0.1593 0.5177 0.7176
Ba 0.1593 0.9823 0.7176
Ba 0.3407 0.0177 0.2176
Ba 0.3407 0.4823 0.2176
Ba 0.3827 0.7500 0.9519
Ba 0.5000 0.0000 0.5000
Ba 0.5000 0.5000 0.5000
Ba 0.6173 0.2500 0.0481
Ba 0.6593 0.5177 0.7824
Ba 0.6593 0.9823 0.7824
Ba 0.8407 0.0177 0.2824
Ba 0.8407 0.4823 0.2824
Ba 0.8827 0.7500 0.5481
Cu 0.0422 0.7500 0.3006
Cu 0.2005 0.2500 0.0750
Cu 0.2995 0.7500 0.5750
Cu 0.4578 0.2500 0.8006
Cu 0.5422 0.7500 0.1994
Cu 0.7005 0.2500 0.4250
Cu 0.7995 0.7500 0.9250
Cu 0.9578 0.2500 0.6994
B 0.0160 0.2500 0.2070
B 0.0712 0.7500 0.1313
B 0.1359 0.5706 0.4364
B 0.1359 0.9294 0.4364
B 0.3641 0.0706 0.9364
B 0.3641 0.4294 0.9364
B 0.4288 0.2500 0.6313
B 0.4840 0.7500 0.7070
B 0.5160 0.2500 0.2930
B 0.5712 0.7500 0.3687
B 0.6359 0.5706 0.0636
B 0.6359 0.9294 0.0636
B 0.8641 0.0706 0.5636
B 0.8641 0.4294 0.5636
B 0.9288 0.2500 0.8687
B 0.9840 0.7500 0.7930
O 0.0019 0.6302 0.3956
O 0.0019 0.8698 0.3956
O 0.0659 0.1447 0.1613
O 0.0659 0.3553 0.1613
O 0.0655 0.6448 0.1878
O 0.0655 0.8552 0.1878
O 0.0720 0.7500 0.7103
O 0.0804 0.7500 0.0348
O 0.1936 0.6082 0.5260
O 0.1936 0.8918 0.5260
O 0.2058 0.0270 0.3928
O 0.2058 0.4730 0.3928
O 0.2942 0.5270 0.8928
O 0.2942 0.9730 0.8928
O 0.3064 0.1082 0.0260
O 0.3064 0.3918 0.0260
O 0.4196 0.2500 0.5348
O 0.4280 0.2500 0.2103
O 0.4345 0.1448 0.6878
O 0.4345 0.3552 0.6878
O 0.4341 0.6447 0.6613
O 0.4341 0.8553 0.6613
O 0.4981 0.1302 0.8956
O 0.4981 0.3698 0.8956
O 0.5019 0.6302 0.1044
O 0.5019 0.8698 0.1044
O 0.5659 0.1447 0.3387
O 0.5659 0.3553 0.3387
O 0.5655 0.6448 0.3122
O 0.5655 0.8552 0.3122
O 0.5720 0.7500 0.7897
O 0.5804 0.7500 0.4652
O 0.6936 0.6082 0.9740
O 0.6936 0.8918 0.9740
O 0.7058 0.0270 0.1072
O 0.7058 0.4730 0.1072
O 0.7942 0.5270 0.6072
O 0.7942 0.9730 0.6072
O 0.8064 0.1082 0.4740
O 0.8064 0.3918 0.4740
O 0.9196 0.2500 0.9652
O 0.9280 0.2500 0.2897
O 0.9345 0.1448 0.8122
O 0.9345 0.3552 0.8122
O 0.9341 0.6447 0.8387
O 0.9341 0.8553 0.8387
O 0.9981 0.1302 0.6044
O 0.9981 0.3698 0.6044

***

Below is a geometry-optimized BaSmCuBO5 structure, with properties calculated at the GGA-PBEsol level.

Output
final energy	-0.5506	Ry/atom
V	221.5	Å³/cell
SG	P4bm, No. 100

Cell: 5.4485 5.4485 7.4626 Å, 90.00 90.00 90.00°
Fractional positions:
Ba 0.0000 0.0000 0.0000
Ba 0.5000 0.5000 0.0000
Sm 0.0000 0.0000 0.5081
Sm 0.5000 0.5000 0.5081
Cu 0.0000 0.5000 0.7271
Cu 0.5000 0.0000 0.7271
B 0.0000 0.5000 0.2478
B 0.5000 0.0000 0.2478
O 0.0000 0.5000 0.0615
O 0.1584 0.3416 0.3364
O 0.2478 0.7478 0.7108
O 0.2522 0.2478 0.7108
O 0.3416 0.8416 0.3364
O 0.5000 0.0000 0.0615
O 0.6584 0.1584 0.3364
O 0.7478 0.7522 0.7108
O 0.7522 0.2522 0.7108
O 0.8416 0.6584 0.3364

***

Below is a geometry-optimized BaSr3Cu8B8O24 structure, with properties calculated at the GGA-PBEsol level.

Output
final energy	-0.5130	Ry/atom
V	550.1	Å³/cell
SG	P222, No. 16

Cell: 6.8004 8.9834 9.0047 Å, 90.00 90.00 90.00°
Fractional positions:
Ba 0.0000 0.0000 0.0000
Sr 0.0000 0.5000 0.5000
Sr 0.5000 0.0000 0.0000
Sr 0.5000 0.5000 0.5000
Cu 0.2256 0.3874 0.8852
Cu 0.2256 0.6126 0.1148
Cu 0.2887 0.1149 0.3868
Cu 0.2887 0.8851 0.6132
Cu 0.7113 0.1149 0.6132
Cu 0.7113 0.8851 0.3868
Cu 0.7744 0.3874 0.1148
Cu 0.7744 0.6126 0.8852
B 0.2461 0.2967 0.2059
B 0.2461 0.7033 0.7941
B 0.2683 0.2068 0.7032
B 0.2683 0.7932 0.2968
B 0.7317 0.2068 0.2968
B 0.7317 0.7932 0.7032
B 0.7539 0.2967 0.7941
B 0.7539 0.7033 0.2059
O 0.2087 0.4008 0.0987
O 0.2087 0.5992 0.9013
O 0.2459 0.3568 0.6703
O 0.2459 0.6432 0.3297
O 0.2575 0.3295 0.3562
O 0.2575 0.6705 0.6438
O 0.2594 0.1758 0.8537
O 0.2594 0.8242 0.1463
O 0.2684 0.1466 0.1747
O 0.2684 0.8534 0.8253
O 0.3006 0.0995 0.5984
O 0.3006 0.9005 0.4016
O 0.6994 0.0995 0.4016
O 0.6994 0.9005 0.5984
O 0.7316 0.1466 0.8253
O 0.7316 0.8534 0.1747
O 0.7406 0.1758 0.1463
O 0.7406 0.8242 0.8537
O 0.7425 0.3295 0.6438
O 0.7425 0.6705 0.3562
O 0.7541 0.3568 0.3297
O 0.7541 0.6432 0.6703
O 0.7913 0.4008 0.9013
O 0.7913 0.5992 0.0987

***

Question: Which of these has the lowest final energy?
Answer: BaSmCuBO5